DFT (PBE) results for an optimized crystal structure of Y7Ga2Ge2.

The structure in POSCAR format:
```
Y7Ga2Ge2
1.0
3.939 -5.393 0.000
3.939 5.393 0.000
0.000 0.000 7.150
Y Ga Ge
7 2 2
Direct
0.000 0.000 0.000
0.000 0.500 0.278
0.000 0.500 0.722
0.500 0.000 0.278
0.500 0.000 0.722
0.500 0.500 0.264
0.500 0.500 0.736
0.169 0.169 0.500
0.831 0.831 0.500
0.289 0.711 0.000
0.711 0.289 0.000
```

DFT formation energy, eV per atom: -0.38